First-principles (PBE-GGA) data for crystalline TbInNi at its relaxed geometry, as listed in the Alexandria database.

Final energy ... -27.80 eV per cell
DOS at the Fermi energy ... 2.253 states/eV/f.u.
Density ... 8.0 Mg/m³

abc: 4.817 4.156 7.196
angles: 73.21 90.00 90.00
Atoms (fractional coordinates):
Tb 0.750 0.830 0.339
Tb 0.250 0.170 0.661
In 0.250 0.412 0.175
In 0.750 0.588 0.825
Ni 0.500 0.000 0.000
Ni 0.000 0.000 0.000


First-principles (PBE-GGA) data for crystalline K2Rb2Pb at its relaxed geometry, as listed in the Alexandria database.

Final energy ... -7.02 eV per cell
DOS at the Fermi energy ... 4.706 states/eV/f.u.
Density ... 2.6 Mg/m³

abc: 7.550 7.550 7.408
angles: 120.64 120.64 90.00
Atoms (fractional coordinates):
K 0.332 0.332 0.665
K 0.668 0.668 0.335
Pb 0.000 0.000 0.000
Rb 0.250 0.750 0.500
Rb 0.750 0.250 0.500